No. 1
First-principles (PBE-GGA) data for a geometry-optimized GeOsO2 structure, as listed in the Alexandria database.

Properties
Magnetic moment in μB per formula unit: 0.0
Space-group type: R-3m
ΔE_f (raw) in eV per atom: -0.362

Cell and atoms, written as POSCAR:
```
GeOsO2
1.0
-1.822 -4.001 5.742
-2.660 -5.681 3.598
0.061 -5.704 4.446
Ge Os O
1 1 2
direct
0.000 0.000 0.000
0.500 0.500 0.500
0.895 0.895 0.895
0.105 0.105 0.105
```

No. 2
First-principles (PBE-GGA) data for a geometry-optimized GeOs3O structure, as listed in the Alexandria database.

Properties
Magnetic moment in μB per formula unit: 0.0
Space-group type: Pm-3m
ΔE_f (raw) in eV per atom: 1.039
Energy above the lowest structure with this stoichiometry in eV per atom: 0.000

Cell and atoms, written as POSCAR:
```
GeOs3O
1.0
4.105 0.000 0.000
0.000 4.105 0.000
0.000 0.000 4.105
Ge Os O
1 3 1
direct
0.500 0.500 0.500
0.000 0.500 0.000
0.000 0.000 0.500
0.500 0.000 0.000
0.000 0.000 0.000
```

What is the ΔE_f (raw) in the second record?
1.039 eV per atom